(1)
DFT (PBE) results for a relaxed structure of MnNbP2C.

```
5
Lattice="-0.461 -3.641 -2.067 2.364 1.067 -2.407 3.100 -1.694 2.294" Properties=species:S:1:pos:R:3 pbc="T T T"
P 1.550 -0.847 1.147
P -0.230 -1.821 -1.033
Nb 2.502 -2.134 -1.090
Mn 1.182 0.533 -1.203
C 0.000 0.000 0.000
```

## Properties
**Mass density**: 5.867 g/cm³
**Uncorrected energy**: -37.20 eV/cell
**DOS(E_F)**: 1.943 states/eV/f.u.
**DFT formation energy**: 0.42 eV per atom
**Calculated volume**: 62.8 Å³ per cell
**Space-group type**: P4/mmm (123)

=====

(2)
DFT (PBE) results for a relaxed structure of MnNbPC2.

```
5
Lattice="3.661 0.000 0.000 0.000 3.661 0.000 0.000 0.000 4.739" Properties=species:S:1:pos:R:3 pbc="T T T"
P 0.000 0.000 2.369
Nb 1.831 1.831 2.369
Mn 0.000 0.000 0.000
C 0.000 1.831 0.000
C 1.831 0.000 0.000
```

## Properties
**Mass density**: 5.303 g/cm³
**Uncorrected energy**: -37.51 eV/cell
**DOS(E_F)**: 8.676 states/eV/f.u.
**DFT formation energy**: 1.12 eV per atom
**Calculated volume**: 63.5 Å³ per cell
**Space-group type**: P4/mmm (123)

=====

(3)
DFT (PBE) results for a relaxed structure of PaMnNbC3.

```
12
Lattice="-0.215 0.401 3.208 5.987 -3.442 0.831 2.198 6.909 -0.717" Properties=species:S:1:pos:R:3 pbc="T T T"
Pa 6.488 3.014 2.512
Pa 1.482 0.854 0.811
Mn 1.863 3.915 0.453
Mn 6.108 -0.047 2.869
Nb 4.154 -1.114 1.235
Nb 3.816 4.982 2.087
C 5.929 0.671 1.131
C 5.425 -1.781 3.040
C 2.740 -0.054 2.645
C 2.041 3.197 2.191
C 5.230 3.922 0.678
C 2.546 5.648 0.282
```

## Properties
**Mass density**: 8.604 g/cm³
**Uncorrected energy**: -115.07 eV/cell
**DOS(E_F)**: 4.595 states/eV/f.u.
**DFT formation energy**: -0.19 eV per atom
**Calculated volume**: 160.1 Å³ per cell
**Space-group type**: P2_1/m (11)

=====

(4)
DFT (PBE) results for a relaxed structure of MnNb2PdC.

```
5
Lattice="4.328 0.000 0.000 0.000 4.328 0.000 0.000 0.000 3.818" Properties=species:S:1:pos:R:3 pbc="T T T"
Nb 0.000 2.164 0.000
Nb 2.164 0.000 0.000
Mn 0.000 0.000 1.909
C 0.000 0.000 0.000
Pd 2.164 2.164 1.909
```

## Properties
**Mass density**: 8.340 g/cm³
**Uncorrected energy**: -44.68 eV/cell
**DOS(E_F)**: 3.872 states/eV/f.u.
**DFT formation energy**: -0.19 eV per atom
**Calculated volume**: 71.5 Å³ per cell
**Space-group type**: P4/mmm (123)

=====

(5)
DFT (PBE) results for a relaxed structure of Mn2NbPtC.

```
5
Lattice="3.892 0.000 0.000 0.000 3.892 0.000 0.000 0.000 4.286" Properties=species:S:1:pos:R:3 pbc="T T T"
Nb 0.000 0.000 2.143
Mn 0.000 1.946 0.000
Mn 1.946 0.000 0.000
C 0.000 0.000 0.000
Pt 1.946 1.946 2.143
```

## Properties
**Mass density**: 10.482 g/cm³
**Uncorrected energy**: -44.63 eV/cell
**DOS(E_F)**: 4.873 states/eV/f.u.
**DFT formation energy**: -0.19 eV per atom
**Calculated volume**: 64.9 Å³ per cell
**Space-group type**: P4/mmm (123)

=====

(6)
DFT (PBE) results for a relaxed structure of Mn2NbRhC.

```
5
Lattice="3.846 0.000 0.000 0.000 3.846 0.000 0.000 0.000 4.302" Properties=species:S:1:pos:R:3 pbc="T T T"
Nb 0.000 0.000 2.151
Mn 0.000 1.923 0.000
Mn 1.923 0.000 0.000
Rh 1.923 1.923 2.151
C 0.000 0.000 0.000
```

## Properties
**Mass density**: 8.292 g/cm³
**Uncorrected energy**: -45.52 eV/cell
**DOS(E_F)**: 4.775 states/eV/f.u.
**DFT formation energy**: -0.11 eV per atom
**Calculated volume**: 63.6 Å³ per cell
**Space-group type**: P4/mmm (123)

=====

(7)
DFT (PBE) results for a relaxed structure of MnNb2RhC.

```
5
Lattice="4.303 0.000 0.000 0.000 4.303 0.000 0.000 0.000 3.748" Properties=species:S:1:pos:R:3 pbc="T T T"
Nb 0.000 2.152 0.000
Nb 2.152 0.000 0.000
Mn 0.000 0.000 1.874
Rh 2.152 2.152 1.874
C 0.000 0.000 0.000
```

## Properties
**Mass density**: 8.509 g/cm³
**Uncorrected energy**: -46.99 eV/cell
**DOS(E_F)**: 3.806 states/eV/f.u.
**DFT formation energy**: -0.22 eV per atom
**Calculated volume**: 69.4 Å³ per cell
**Space-group type**: P4/mmm (123)

=====

(8)
DFT (PBE) results for a relaxed structure of MnNbRu2C.

```
5
Lattice="4.029 0.000 0.000 0.000 4.029 0.000 0.000 0.000 3.915" Properties=species:S:1:pos:R:3 pbc="T T T"
Ru 0.000 2.015 0.000
Ru 2.015 0.000 0.000
Nb 2.015 2.015 1.957
Mn 0.000 0.000 1.957
C 0.000 0.000 0.000
```

## Properties
**Mass density**: 9.459 g/cm³
**Uncorrected energy**: -47.40 eV/cell
**DOS(E_F)**: 1.982 states/eV/f.u.
**DFT formation energy**: -0.08 eV per atom
**Calculated volume**: 63.5 Å³ per cell
**Space-group type**: P4/mmm (123)